#w
# Ca3ScBr PBE relaxed
# magnetization	3.82	Bohr magnetons per cell
data_Ca3ScBr
_space_group_name_H-M_alt 'P 1'
_space_group_IT_number 1
_cell_length_a 6.1087
_cell_length_b 6.1087
_cell_length_c 6.1087
_cell_angle_alpha 90.00
_cell_angle_beta 90.00
_cell_angle_gamma 90.00
loop_
_space_group_symop_operation_xyz
'x,y,z'
loop_
_atom_site_label
_atom_site_fract_x
_atom_site_fract_y
_atom_site_fract_z
Ca1 0.0000 0.0000 0.5000
Ca2 0.0000 0.5000 0.0000
Ca3 0.5000 0.0000 0.0000
Sc1 0.0000 0.0000 0.0000
Br1 0.5000 0.5000 0.5000

---

#x
# Ca3ScBr PBE relaxed
# magnetization	2.10	Bohr magnetons per cell
data_Ca3ScBr
_space_group_name_H-M_alt 'P 1'
_space_group_IT_number 1
_cell_length_a 5.6596
_cell_length_b 5.6596
_cell_length_c 5.6596
_cell_angle_alpha 90.00
_cell_angle_beta 90.00
_cell_angle_gamma 90.00
loop_
_space_group_symop_operation_xyz
'x,y,z'
loop_
_atom_site_label
_atom_site_fract_x
_atom_site_fract_y
_atom_site_fract_z
Ca1 0.0000 0.0000 0.5000
Ca2 0.0000 0.5000 0.0000
Ca3 0.5000 0.0000 0.0000
Sc1 0.5000 0.5000 0.5000
Br1 0.0000 0.0000 0.0000

---

Relative energies with respect to the most stable structure, expressed in meV per atom: #w 574; #x 0.